The following is a PBE with a Hubbard U calculation of a relaxed Ba2CoB6O12 crystal, from Alexandria via LeMat-Bulk.

Calculated values
The value obtained for the total energy is -7.604 eV/atom. Its space group is No. 148. As for the calculated volume: 251.6 Å³/f.u.

Cell: 7.019 7.019 7.019 Å, 61.29 61.29 61.29°
Fractional coordinates of all 21 atoms:
Ba 0.208 0.208 0.208
Ba 0.792 0.792 0.792
Co 0.000 0.000 0.000
B 0.244 0.355 0.634
B 0.355 0.634 0.244
B 0.366 0.756 0.645
B 0.634 0.244 0.355
B 0.645 0.366 0.756
B 0.756 0.645 0.366
O 0.085 0.313 0.840
O 0.160 0.915 0.687
O 0.196 0.572 0.464
O 0.313 0.840 0.085
O 0.428 0.536 0.804
O 0.464 0.196 0.572
O 0.536 0.804 0.428
O 0.572 0.464 0.196
O 0.687 0.160 0.915
O 0.804 0.428 0.536
O 0.840 0.085 0.313
O 0.915 0.687 0.160